DFT (GGA-PBE) results for RbBaTl2 after structural relaxation.

Calculated values
Magnetic moment (Bohr magnetons per cell): 0.00
Space-group type: No. 122
Uncorrected energy (eV per atom): -1.847
Energy above the most stable polymorph in this dataset (eV/atom): 0.243
Fermi-level density of states (states/eV/f.u.): 6.398

abc: 9.848 9.848 7.938
angles: 51.66 51.66 90.00
Atoms (fractional coordinates):
Tl1 0.638 0.125 0.250
Tl2 0.112 0.625 0.250
Tl3 0.375 0.362 0.750
Tl4 0.875 0.888 0.750
Ba1 0.000 0.000 0.000
Ba2 0.750 0.250 0.500
Rb1 0.500 0.500 0.000
Rb2 0.250 0.750 0.500

DFT (GGA-PBE) results for KTl4Cu3Cl12 after structural relaxation.

Calculated values
Magnetic moment (Bohr magnetons per cell): 0.00
Space-group type: No. 229
Uncorrected energy (eV per atom): -3.039
Fermi-level density of states (states/eV/f.u.): 5.845

abc: 8.813 8.813 8.813
angles: 109.47 109.47 109.47
Atoms (fractional coordinates):
K1 0.000 0.000 0.000
Tl1 0.500 0.500 0.500
Tl2 0.000 0.000 0.500
Tl3 0.500 0.000 0.000
Tl4 0.000 0.500 0.000
Cu1 0.500 0.000 0.500
Cu2 0.500 0.500 0.000
Cu3 0.000 0.500 0.500
Cl1 0.250 0.500 0.750
Cl2 0.717 0.000 0.717
Cl3 0.283 0.000 0.283
Cl4 0.750 0.500 0.250
Cl5 0.717 0.717 0.000
Cl6 0.283 0.283 0.000
Cl7 0.750 0.250 0.500
Cl8 0.250 0.750 0.500
Cl9 0.500 0.250 0.750
Cl10 0.000 0.717 0.717
Cl11 0.500 0.750 0.250
Cl12 0.000 0.283 0.283